VASP calculation (PBE) on an optimized crystal structure of ScZnAg.

a b c (Å): 5.2757 3.0552 4.8266
angles (deg): 89.98 90.00 54.65
Last column: nearest neighbours and their distance in Å.
Element x y z (fractional)
1 Sc 0.0000 0.0000 0.5000  4 Zn 2.86, 2 Sc 3.06
2 Zn 0.0000 0.5000 0.0000  4 Ag 2.64, 4 Sc 2.86
3 Ag 0.5000 0.5000 0.0000  4 Zn 2.64

Properties
- E: -3.379 eV/atom
- Space-group type: Pmmm (47)



VASP calculation (PBE) on an optimized crystal structure of CaTaTc2.

a b c (Å): 5.5788 5.5788 4.7391
angles (deg): 64.83 64.83 32.66
Last column: nearest neighbours and their distance in Å.
Element x y z (fractional)
1 Ca 0.4940 0.4940 0.5059  6 Tc 2.84-2.99, 2 Ta 3.09, 2 Ca 3.14
2 Tc 0.0058 0.0058 0.9942  2 Tc 2.65, 2 Ta 2.74, 4 Ca 2.84
3 Tc 0.7285 0.7285 0.7714  2 Tc 2.65, 4 Ta 2.87
4 Ta 0.2717 0.2717 0.2284  6 Tc 2.74-2.87

Properties
- E: -8.318 eV/atom
- Space-group type: Imm2 (44)



VASP calculation (PBE) on an optimized crystal structure of SmHo2Er6Sc.

a b c (Å): 9.3370 8.6337 8.6337
angles (deg): 117.26 93.59 93.59
Last column: nearest neighbours and their distance in Å.
Element x y z (fractional)
1 Sm 0.2500 0.9763 0.0237  4 Ho 3.32-3.41, 4 Er 3.51-3.61
2 Sm 0.7500 0.0237 0.9763  4 Ho 3.32-3.41, 4 Er 3.51-3.61
3 Ho 0.4515 0.7983 0.6936  5 Er 3.18-3.47, 2 Sm 3.32-3.41, 1 Sc 3.41
4 Ho 0.0485 0.3064 0.2017  5 Er 3.18-3.47, 2 Sm 3.32-3.41, 1 Sc 3.41
5 Ho 0.5485 0.2017 0.3064  5 Er 3.18-3.47, 2 Sm 3.32-3.41, 1 Sc 3.41
6 Ho 0.9515 0.6936 0.7983  5 Er 3.18-3.47, 2 Sm 3.32-3.41, 1 Sc 3.41
7 Er 0.0568 0.1271 0.7520  7 Er 3.38-3.64, 1 Ho 3.47, 1 Sm 3.61
8 Er 0.4432 0.2480 0.8729  7 Er 3.38-3.64, 1 Ho 3.47, 1 Sm 3.61
9 Er 0.9432 0.8729 0.2480  7 Er 3.38-3.64, 1 Ho 3.47, 1 Sm 3.61
10 Er 0.5568 0.7520 0.1271  7 Er 3.38-3.64, 1 Ho 3.47, 1 Sm 3.61
11 Er 0.3117 0.9925 0.4364  4 Er 3.20-3.59, 2 Ho 3.33-3.57, 1 Sc 3.35, 1 Sm 3.51
12 Er 0.1883 0.5636 0.0075  4 Er 3.20-3.59, 2 Ho 3.33-3.57, 1 Sc 3.35, 1 Sm 3.51
13 Er 0.6883 0.0075 0.5636  4 Er 3.20-3.59, 2 Ho 3.33-3.57, 1 Sc 3.35, 1 Sm 3.51
14 Er 0.8117 0.4364 0.9925  4 Er 3.20-3.59, 2 Ho 3.33-3.57, 1 Sc 3.35, 1 Sm 3.51
15 Er 0.1153 0.7078 0.4917  3 Ho 3.18-3.36, 4 Er 3.20-3.41, 2 Sc 3.30-3.43
16 Er 0.3847 0.5083 0.2922  3 Ho 3.18-3.36, 4 Er 3.20-3.41, 2 Sc 3.30-3.43
17 Er 0.8847 0.2922 0.5083  3 Ho 3.18-3.36, 4 Er 3.20-3.41, 2 Sc 3.30-3.43
18 Er 0.6153 0.4917 0.7078  3 Ho 3.18-3.36, 4 Er 3.20-3.41, 2 Sc 3.30-3.43
19 Sc 0.2500 0.4133 0.5867  6 Er 3.30-3.43, 2 Ho 3.41
20 Sc 0.7500 0.5867 0.4133  6 Er 3.30-3.43, 2 Ho 3.41

Properties
- E: -4.630 eV/atom
- Space-group type: C2/c (15)



VASP calculation (PBE) on an optimized crystal structure of RbSrSn3.

a b c (Å): 6.0004 6.0004 6.0004
angles (deg): 90.00 90.00 90.00
Last column: nearest neighbours and their distance in Å.
Element x y z (fractional)
1 Sr 0.5000 0.5000 0.5000  12 Sn 4.24
2 Sn 0.0000 0.5000 0.0000  2 Rb 3.00
3 Sn 0.0000 0.0000 0.5000  2 Rb 3.00
4 Sn 0.5000 0.0000 0.0000  2 Rb 3.00
5 Rb 0.0000 0.0000 0.0000  6 Sn 3.00

Properties
- E: -2.206 eV/atom
- Space-group type: Pm-3m (221)



VASP calculation (PBE) on an optimized crystal structure of La5Dy.

a b c (Å): 3.7042 3.7042 15.6361
angles (deg): 90.00 90.00 90.00
Last column: nearest neighbours and their distance in Å.
Element x y z (fractional)
1 La 0.0000 0.0000 0.6618  4 Dy 3.64, 8 La 3.70-3.72
2 La 0.5000 0.5000 0.8308  12 La 3.70-3.72
3 La 0.0000 0.0000 0.0000  12 La 3.70-3.72
4 La 0.5000 0.5000 0.1692  12 La 3.70-3.72
5 La 0.0000 0.0000 0.3382  4 Dy 3.64, 8 La 3.70-3.72
6 Dy 0.5000 0.5000 0.5000  8 La 3.64, 4 Dy 3.70

Properties
- E: -4.856 eV/atom
- Space-group type: P4/mmm (123)



VASP calculation (PBE) on an optimized crystal structure of Ca2Co.

a b c (Å): 3.7715 3.7715 7.0703
angles (deg): 90.00 90.00 120.00
Last column: nearest neighbours and their distance in Å.
Element x y z (fractional)
1 Ca 0.6667 0.3333 0.7468  3 Co 2.82
2 Ca 0.3333 0.6667 0.2532  3 Co 2.82
3 Co 0.0000 0.0000 0.0000  6 Ca 2.82

Properties
- E: -3.316 eV/atom
- Space-group type: P-3m1 (164)



VASP calculation (PBE) on an optimized crystal structure of Tb2SmHoEr.

a b c (Å): 7.1880 8.3753 7.0878
angles (deg): 126.22 90.00 90.00
Last column: nearest neighbours and their distance in Å.
Element x y z (fractional)
1 Tb 0.5000 0.3090 0.0000  2 Ho 3.15, 1 Tb 3.20, 2 Er 3.52
2 Tb 0.0000 0.6910 0.0000  2 Ho 3.15, 1 Tb 3.20, 2 Er 3.52
3 Tb 0.5000 0.6910 0.0000  2 Ho 3.15, 1 Tb 3.20, 2 Er 3.52
4 Tb 0.0000 0.3090 0.0000  2 Ho 3.15, 1 Tb 3.20, 2 Er 3.52
5 Sm 0.2500 0.7260 0.4520  1 Ho 3.09
6 Sm 0.7500 0.2740 0.5480  1 Ho 3.09
7 Ho 0.2500 0.9966 0.9932  1 Sm 3.09, 4 Tb 3.15, 1 Er 3.18
8 Ho 0.7500 0.0034 0.0068  1 Sm 3.09, 4 Tb 3.15, 1 Er 3.18
9 Er 0.7500 0.7253 0.4505  1 Ho 3.18, 4 Tb 3.52
10 Er 0.2500 0.2747 0.5495  1 Ho 3.18, 4 Tb 3.52

Properties
- E: -4.224 eV/atom
- Space-group type: Cmcm (63)



VASP calculation (PBE) on an optimized crystal structure of BeNi3Ag.

a b c (Å): 3.9534 3.9534 3.9534
angles (deg): 90.00 90.00 90.00
Last column: nearest neighbours and their distance in Å.
Element x y z (fractional)
1 Ni 0.0000 0.5000 0.0000  2 Be 1.98
2 Ni 0.0000 0.0000 0.5000  2 Be 1.98
3 Ni 0.5000 0.0000 0.0000  2 Be 1.98
4 Ag 0.5000 0.5000 0.5000  12 Ni 2.80
5 Be 0.0000 0.0000 0.0000  6 Ni 1.98

Properties
- E: -4.446 eV/atom
- Space-group type: Pm-3m (221)



no.,formation energy (eV/f.u.)
1,0.32
2,1.31
3,1.29
4,3.63
5,0.10
6,1.16
7,2.00
8,1.69